Record 1
Density functional theory data (PBE) for crystalline Dy8AlSb6 at its relaxed geometry.

The space group is P-3 (No. 147) and the conventional cell measures 10.6031, 10.6031 and 4.5702 Å, with angles of 90.00, 90.00 and 120.00 degrees. The distinct sites, in fractional coordinates, are Dy at (0.0341, 0.2963, 0.2544), Dy at (0.3333, 0.6667, 0.7474), Al at (0.0000, 0.0000, 0.5000) and Sb at (0.1124, 0.6375, 0.2473).

Record 2
Density functional theory data (PBE) for crystalline Dy7Al2Sb2 at its relaxed geometry.

The space group is Cmmm (No. 65) and the conventional cell measures 7.901, 10.814 and 7.641 Å, with angles of 90.00, 90.00 and 90.00 degrees. The distinct sites, in fractional coordinates, are Dy at (0.000, 0.000, 0.000), Dy at (0.000, 0.500, 0.280), Dy at (0.250, 0.250, 0.290), Al at (0.168, 0.000, 0.500) and Sb at (0.000, 0.294, 0.000).

Record 3
Density functional theory data (PBE) for crystalline Dy4AlSb at its relaxed geometry.

The space group is Fddd (No. 70, origin choice 2) and the conventional cell measures 10.119, 10.127 and 14.298 Å, with angles of 90.00, 90.00 and 90.00 degrees. The distinct sites, in fractional coordinates, are Dy at (0.120, 0.370, 0.250), Al at (0.125, 0.125, 0.125) and Sb at (0.125, 0.125, 0.625).

Record 4
Density functional theory data (PBE) for crystalline Dy8AlSb2 at its relaxed geometry.

The space group is C2/m (No. 12) and the conventional cell measures 19.114, 5.011 and 6.797 Å, with angles of 90.00, 102.68 and 90.00 degrees. The distinct sites, in fractional coordinates, are Dy at (0.018, 0.000, 0.270), Dy at (0.091, 0.500, 0.980), Dy at (0.158, 0.500, 0.516), Dy at (0.216, 0.000, 0.836), Al at (0.000, 0.500, 0.500) and Sb at (0.180, 0.000, 0.267).

Calculated values (eV per atom) of formation energy from raw total energies for the records, taken in order: -0.663; -0.274; -0.327; -0.391.
Calculated values (eV/atom) of E_tot for the records, taken in order: -5.015; -4.632; -4.706; -4.827.